A geometry-optimized Li2Ni5GeB2 structure, computed with PBE.

Cell: 8.623 8.623 2.847 Å, 90.00 90.00 90.00°
Fractional coordinates of all 20 atoms:
Li (0.175, 0.325, 0.000)
Li (0.325, 0.825, 0.000)
Li (0.675, 0.175, 0.000)
Li (0.825, 0.675, 0.000)
Ni (0.000, 0.500, 0.500)
Ni (0.072, 0.780, 0.500)
Ni (0.220, 0.072, 0.500)
Ni (0.280, 0.572, 0.500)
Ni (0.428, 0.280, 0.500)
Ni (0.500, 0.000, 0.500)
Ni (0.572, 0.720, 0.500)
Ni (0.720, 0.428, 0.500)
Ni (0.780, 0.928, 0.500)
Ni (0.928, 0.220, 0.500)
Ge (0.000, 0.000, 0.000)
Ge (0.500, 0.500, 0.000)
B (0.122, 0.622, 0.000)
B (0.378, 0.122, 0.000)
B (0.622, 0.878, 0.000)
B (0.878, 0.378, 0.000)

Results
For the density of states at the Fermi level, the calculation gives 0.3130 states/eV/atom. The value obtained for the theoretical density is 6.3 g/cm3. The value obtained for the formation energy is -319 meV per atom. As for the space group: P4/mbm. As for the magnetic moment: 0.00 μB per cell.